Entry 1:
The following is a DFT calculation (PBE-GGA) of TaIn2Sb after structural relaxation.

Summary:
uncorrected formation energy = 0.422 eV per atom

Geometry as extended XYZ:
```
4
Lattice="-0.0076 -2.4927 -1.8283 4.2031 -1.9480 2.6384 -3.4226 -2.5874 3.5419" Properties=species:S:1:pos:R:3 pbc="T T T"
In 0.0000 0.0000 0.0000
In 2.0977 -2.2204 0.4051
Sb -1.7151 -2.5401 0.8568
Ta 0.3903 -2.2677 3.0902
```


Entry 2:
The following is a DFT calculation (PBE-GGA) of LaTbSe after structural relaxation.

Summary:
uncorrected formation energy = -1.110 eV per atom

Geometry as extended XYZ:
```
3
Lattice="-1.9166 -5.4142 -3.6101 -0.8692 -1.9449 3.3783 -2.7967 2.1996 -1.8141" Properties=species:S:1:pos:R:3 pbc="T T T"
Tb -2.6726 -0.6463 -1.0598
Se -0.0202 -0.0572 -0.0381
La -2.8897 -4.4559 -0.9480
```


Entry 3:
The following is a DFT calculation (PBE-GGA) of NaMnB3 after structural relaxation.

Summary:
E = -5.52 eV/atom

Geometry as extended XYZ:
```
5
Lattice="3.8605 0.0000 0.0000 0.0000 3.8605 0.0000 0.0000 0.0000 3.8605" Properties=species:S:1:pos:R:3 pbc="T T T"
Na 1.9303 1.9303 1.9303
B 0.0000 1.9303 0.0000
B 0.0000 0.0000 1.9303
B 1.9303 0.0000 0.0000
Mn 0.0000 0.0000 0.0000
```


Entry 4:
The following is a DFT calculation (PBE-GGA) of TiTlH after structural relaxation.

Summary:
E = -4.54 eV/atom

Geometry as extended XYZ:
```
12
Lattice="7.1984 0.0000 0.0000 0.0000 3.1279 0.0000 0.0000 0.0000 8.6575" Properties=species:S:1:pos:R:3 pbc="T T T"
H 6.3419 0.7820 3.8493
H 4.4556 2.3459 8.1780
H 0.8565 2.3459 4.8082
H 2.7427 0.7820 0.4795
Tl 0.2965 0.7820 7.0646
Tl 3.3027 2.3459 2.7359
Tl 6.9019 2.3459 1.5929
Tl 3.8957 0.7820 5.9217
Ti 1.0131 0.7820 3.7712
Ti 2.5861 2.3459 8.1000
Ti 6.1853 2.3459 4.8863
Ti 4.6123 0.7820 0.5575
```


no.,D(E_F) (states/eV per cell)
1,2.75
2,3.03
3,2.67
4,6.49